8
Lattice="7.597 0.000 0.000 0.000 4.387 0.000 -2.526 0.000 7.170" Properties=species:S:1:pos:R:3 comment="AcLa2CeAs4 GGA-PBE relaxed" magnetic_moment_mub_per_cell=0.717 formation_enthalpy_0k_ev_per_atom=-1.497 vol_a3_per_cell=239.0 pbc="T T T"
Ac 0.000 0.000 0.000
La 2.535 0.000 3.585
La 3.799 2.193 0.000
Ce -1.263 2.193 3.585
As 0.006 0.000 5.307
As 1.263 2.193 1.869
As 3.808 2.193 5.300
As 5.065 0.000 1.862